Tb2NdDy2Y6 PBE-GGA relaxed; N(E_F) = 16.948 states/eV/cell; energy of formation = 154 meV per atom; VASP energy = -5.483 eV/atom; total magnetic moment = 0.0 μB/f.u.; SG = No. 12; crystal system = monoclinic
1.0
-6.4837 -1.4323 -0.5762
5.1676 -4.1197 0.8633
0.2064 6.3473 10.1801
Tb Nd Dy Y
2 1 2 6
direct
0.8658 0.1342 0.0000
0.1342 0.8658 0.0000
0.0000 0.0000 0.5000
0.2949 0.7051 0.5000
0.7051 0.2949 0.5000
0.7110 0.7110 0.7103
0.1434 0.4491 0.7957
0.2890 0.2890 0.2897
0.4491 0.1434 0.7957
0.8566 0.5509 0.2043
0.5509 0.8566 0.2043

TbNd6Dy2Y PBE-GGA relaxed; N(E_F) = 28.644 states/eV/cell; energy of formation = 113 meV per atom; VASP energy = -4.777 eV/atom; total magnetic moment = 0.0 μB/f.u.; SG = No. 15; crystal system = monoclinic
1.0
9.2462 -2.0763 -2.1547
0.8145 8.6995 -2.0593
0.8145 -2.3803 8.6172
Tb Nd Dy Y
2 12 4 2
direct
0.2500 0.9729 0.0271
0.7500 0.0271 0.9729
0.0543 0.1163 0.7604
0.4457 0.2396 0.8837
0.9457 0.8837 0.2396
0.5543 0.7604 0.1163
0.3143 0.9869 0.4347
0.1857 0.5653 0.0131
0.6857 0.0131 0.5653
0.8143 0.4347 0.9869
0.1194 0.7077 0.4915
0.3806 0.5085 0.2923
0.8806 0.2923 0.5085
0.6194 0.4915 0.7077
0.4549 0.8002 0.7024
0.0451 0.2976 0.1998
0.5451 0.1998 0.2976
0.9549 0.7024 0.8002
0.2500 0.4096 0.5904
0.7500 0.5904 0.4096